[1]
# GdDyLu | Alexandria via LeMat-Bulk | GGA-PBE | optimized geometry
# total DFT energy (no corrections) = -7.71 eV per atom
# size of the total moment = 7.29 μB per formula unit
# ΔH_f (0 K) = 0.027 eV/atom
# Fermi-level density of states = 4.5 states/eV per cell
data_GdDyLu
_chemical_formula_sum 'Gd1 Dy1 Lu1'
_space_group_name_H-M_alt 'P 3 m 1'
_space_group_IT_number 156
_space_group_name_Hall 'P 3 -2"'
_cell_length_a 3.5320
_cell_length_b 3.5320
_cell_length_c 8.6208
_cell_angle_alpha 90.00
_cell_angle_beta 90.00
_cell_angle_gamma 120.00
loop_
_atom_site_label
_atom_site_type_symbol
_atom_site_fract_x
_atom_site_fract_y
_atom_site_fract_z
Gd1 Gd 0.0000 0.0000 0.0000
Dy1 Dy 0.6667 0.3333 0.3401
Lu1 Lu 0.3333 0.6667 0.6669

---

[2]
# GdDyLuMg | Alexandria via LeMat-Bulk | GGA-PBE | optimized geometry
# total DFT energy (no corrections) = -6.18 eV per atom
# size of the total moment = 7.28 μB per formula unit
# ΔH_f (0 K) = 0.021 eV/atom
# Fermi-level density of states = 17.5 states/eV per cell
data_GdDyLuMg
_chemical_formula_sum 'Gd4 Dy4 Lu4 Mg4'
_space_group_name_H-M_alt 'F -4 3 m'
_space_group_IT_number 216
_space_group_name_Hall 'F -4 2 3'
_cell_length_a 7.734
_cell_length_b 7.734
_cell_length_c 7.734
_cell_angle_alpha 90.00
_cell_angle_beta 90.00
_cell_angle_gamma 90.00
loop_
_atom_site_label
_atom_site_type_symbol
_atom_site_fract_x
_atom_site_fract_y
_atom_site_fract_z
Gd1 Gd 0.000 0.000 0.000
Dy1 Dy 0.000 0.000 0.500
Lu1 Lu 0.250 0.250 0.750
Mg1 Mg 0.250 0.250 0.250

---

[3]
# NdGdDyLu | Alexandria via LeMat-Bulk | GGA-PBE | optimized geometry
# total DFT energy (no corrections) = -6.89 eV per atom
# size of the total moment = 7.61 μB per formula unit
# ΔH_f (0 K) = 0.101 eV/atom
# Fermi-level density of states = 29.5 states/eV per cell
data_NdGdDyLu
_chemical_formula_sum 'Nd4 Gd4 Dy4 Lu4'
_space_group_name_H-M_alt 'F -4 3 m'
_space_group_IT_number 216
_space_group_name_Hall 'F -4 2 3'
_cell_length_a 8.033
_cell_length_b 8.033
_cell_length_c 8.033
_cell_angle_alpha 90.00
_cell_angle_beta 90.00
_cell_angle_gamma 90.00
loop_
_atom_site_label
_atom_site_type_symbol
_atom_site_fract_x
_atom_site_fract_y
_atom_site_fract_z
Nd1 Nd 0.000 0.000 0.000
Gd1 Gd 0.000 0.000 0.500
Dy1 Dy 0.250 0.250 0.750
Lu1 Lu 0.250 0.250 0.250

---

[4]
# GdDyLuPu | Alexandria via LeMat-Bulk | GGA-PBE | optimized geometry
# total DFT energy (no corrections) = -9.20 eV per atom
# size of the total moment = 1.07 μB per formula unit
# ΔH_f (0 K) = 0.182 eV/atom
# Fermi-level density of states = 43.7 states/eV per cell
data_GdDyLuPu
_chemical_formula_sum 'Gd4 Dy4 Lu4 Pu4'
_space_group_name_H-M_alt 'F -4 3 m'
_space_group_IT_number 216
_space_group_name_Hall 'F -4 2 3'
_cell_length_a 7.866
_cell_length_b 7.866
_cell_length_c 7.866
_cell_angle_alpha 90.00
_cell_angle_beta 90.00
_cell_angle_gamma 90.00
loop_
_atom_site_label
_atom_site_type_symbol
_atom_site_fract_x
_atom_site_fract_y
_atom_site_fract_z
Gd1 Gd 0.000 0.000 0.000
Dy1 Dy 0.250 0.250 0.750
Lu1 Lu 0.250 0.250 0.250
Pu1 Pu 0.000 0.000 0.500

---

[5]
# GdDyLuRu | Alexandria via LeMat-Bulk | GGA-PBE | optimized geometry
# total DFT energy (no corrections) = -8.06 eV per atom
# size of the total moment = 7.14 μB per formula unit
# ΔH_f (0 K) = 0.063 eV/atom
# Fermi-level density of states = 19.4 states/eV per cell
data_GdDyLuRu
_chemical_formula_sum 'Gd4 Dy4 Lu4 Ru4'
_space_group_name_H-M_alt 'F -4 3 m'
_space_group_IT_number 216
_space_group_name_Hall 'F -4 2 3'
_cell_length_a 7.266
_cell_length_b 7.266
_cell_length_c 7.266
_cell_angle_alpha 90.00
_cell_angle_beta 90.00
_cell_angle_gamma 90.00
loop_
_atom_site_label
_atom_site_type_symbol
_atom_site_fract_x
_atom_site_fract_y
_atom_site_fract_z
Gd1 Gd 0.000 0.000 0.000
Dy1 Dy 0.000 0.000 0.500
Lu1 Lu 0.250 0.250 0.750
Ru1 Ru 0.250 0.250 0.250

---

[6]
# GdDyLuSc | Alexandria via LeMat-Bulk | GGA-PBE | optimized geometry
# total DFT energy (no corrections) = -7.29 eV per atom
# size of the total moment = 7.18 μB per formula unit
# ΔH_f (0 K) = 0.095 eV/atom
# Fermi-level density of states = 26.2 states/eV per cell
data_GdDyLuSc
_chemical_formula_sum 'Gd4 Dy4 Lu4 Sc4'
_space_group_name_H-M_alt 'F -4 3 m'
_space_group_IT_number 216
_space_group_name_Hall 'F -4 2 3'
_cell_length_a 7.779
_cell_length_b 7.779
_cell_length_c 7.779
_cell_angle_alpha 90.00
_cell_angle_beta 90.00
_cell_angle_gamma 90.00
loop_
_atom_site_label
_atom_site_type_symbol
_atom_site_fract_x
_atom_site_fract_y
_atom_site_fract_z
Gd1 Gd 0.000 0.000 0.000
Dy1 Dy 0.000 0.000 0.500
Lu1 Lu 0.250 0.250 0.750
Sc1 Sc 0.250 0.250 0.250

---

[7]
# TbGdDyLu | Alexandria via LeMat-Bulk | GGA-PBE | optimized geometry
# total DFT energy (no corrections) = -6.84 eV per atom
# size of the total moment = 8.15 μB per formula unit
# ΔH_f (0 K) = 0.116 eV/atom
# Fermi-level density of states = 33.4 states/eV per cell
data_TbGdDyLu
_chemical_formula_sum 'Tb4 Gd4 Dy4 Lu4'
_space_group_name_H-M_alt 'F -4 3 m'
_space_group_IT_number 216
_space_group_name_Hall 'F -4 2 3'
_cell_length_a 7.968
_cell_length_b 7.968
_cell_length_c 7.968
_cell_angle_alpha 90.00
_cell_angle_beta 90.00
_cell_angle_gamma 90.00
loop_
_atom_site_label
_atom_site_type_symbol
_atom_site_fract_x
_atom_site_fract_y
_atom_site_fract_z
Tb1 Tb 0.000 0.000 0.000
Gd1 Gd 0.000 0.000 0.500
Dy1 Dy 0.250 0.250 0.250
Lu1 Lu 0.250 0.250 0.750

---

[8]
# GdDy2Mg | Alexandria via LeMat-Bulk | GGA-PBE | optimized geometry
# total DFT energy (no corrections) = -6.17 eV per atom
# size of the total moment = 7.11 μB per formula unit
# ΔH_f (0 K) = 0.047 eV/atom
# Fermi-level density of states = 5.8 states/eV per cell
# energy above the most stable polymorph in this dataset = 70 meV per atom
data_GdDy2Mg
_chemical_formula_sum 'Gd1 Dy2 Mg1'
_space_group_name_H-M_alt 'P 4/m m m'
_space_group_IT_number 123
_space_group_name_Hall '-P 4 2'
_cell_length_a 5.515
_cell_length_b 5.515
_cell_length_c 3.886
_cell_angle_alpha 90.00
_cell_angle_beta 90.00
_cell_angle_gamma 90.00
loop_
_atom_site_label
_atom_site_type_symbol
_atom_site_fract_x
_atom_site_fract_y
_atom_site_fract_z
Gd1 Gd 0.000 0.000 0.000
Dy1 Dy 0.000 0.500 0.500
Mg1 Mg 0.500 0.500 0.000